This record from Alexandria describes an optimized crystal structure of NdCr2WO8. The functional is GGA+U.

The crystal system is monoclinic. For the total energy, the calculation gives -91.6 eV per cell. The density of states at the Fermi level is 0.30 states/eV/atom.

a = 4.717 Å, b = 6.639 Å, c = 4.720 Å
α = 90.00°, β = 90.53°, γ = 90.00°
Space group P2/m (No. 10)
Inequivalent atoms, fractional coordinates:
Nd 0.000 0.000 0.000 (multiplicity 1)
Cr 0.500 0.265 0.500 (multiplicity 2)
W 0.000 0.500 0.000 (multiplicity 1)
O 0.201 0.290 0.200 (multiplicity 4)
O 0.300 0.500 0.700 (multiplicity 2)
O 0.336 0.000 0.662 (multiplicity 2)